Material: InGaMoO6
Method: DFT, PBE with a Hubbard U
State: relaxed

The electronic total energy comes out at -6.305 eV per atom. As for the spin magnetization: 0.00 μB per formula unit. Its crystal system is tetragonal. Its density is 5.89 Mg/m³. The value obtained for the volume is 106.2 Å³/f.u.

The space group is P4_2nm (No. 102) and the conventional cell measures 4.7671, 4.7671 and 9.3439 Å, with angles of 90.00, 90.00 and 90.00 degrees. The asymmetric unit holds In at (0.0000, 0.0000, 0.0000), Ga at (0.0000, 0.0000, 0.3287), Mo at (0.0000, 0.0000, 0.6668), O at (0.1810, 0.1810, 0.4996), O at (0.2030, 0.2030, 0.8098) and O at (0.2086, 0.2086, 0.1747).